Here is TiCu2Pb after structural relaxation from Alexandria via LeMat-Bulk. Energies are from PBE.

- ΔE_f: 0.39 eV/atom

abc: 7.236 7.236 5.838
angles: 51.70 51.70 90.00
Element x y z (fractional)
1 Ti 0.250 0.750 0.500
2 Ti 0.500 0.500 0.000
3 Cu 0.875 0.859 0.750
4 Cu 0.375 0.391 0.750
5 Cu 0.609 0.125 0.250
6 Cu 0.141 0.625 0.250
7 Pb 0.000 0.000 0.000
8 Pb 0.750 0.250 0.500